1.
Here is a relaxed structure of LiTcH4 from the Open Quantum Materials Database. Energies are from PBE.

Results
SG: No. 65
Calculated volume, Å³ per atom: 6.6
Total energy, eV/cell: -26.47
Magnetization, Bohr magnetons per cell: 0.0

POSCAR file:
```
LiTcH4
1.0
2.087 -2.083 0.000
2.087 2.083 0.000
-0.004 0.000 4.558
H Li Tc
4 1 1
direct
0.000 0.500 0.270 H
0.500 0.000 0.270 H
0.500 0.000 0.730 H
0.000 0.500 0.730 H
0.000 0.000 0.000 Li
0.500 0.500 0.500 Tc
```

2.
Here is a relaxed structure of FeCoB4 from the Open Quantum Materials Database. Energies are from PBE.

Results
SG: No. 191
Calculated volume, Å³ per atom: 7.3
Total energy, eV/cell: -42.25
Magnetization, Bohr magnetons per cell: 0.5

POSCAR file:
```
FeCoB4
1.0
-1.638 2.434 0.592
-0.356 -1.449 -2.595
-3.968 -3.242 2.354
B Co Fe
4 1 1
direct
0.667 0.333 0.252 B
0.333 0.667 0.252 B
0.667 0.333 0.748 B
0.333 0.667 0.748 B
0.000 0.000 0.000 Co
0.000 0.000 0.500 Fe
```

3.
Here is a relaxed structure of SmCuSnS3 from the Open Quantum Materials Database. Energies are from PBE.

Results
SG: No. 12
Calculated volume, Å³ per atom: 22.5
Total energy, eV/cell: -61.19
Magnetization, Bohr magnetons per cell: 0.0

POSCAR file:
```
SmCuSnS3
1.0
-6.215 -5.777 -3.596
-2.891 -6.925 -5.349
2.262 -3.575 6.630
Cu S Sm Sn
2 6 2 2
direct
0.462 0.462 0.295 Cu
0.538 0.538 0.705 Cu
0.500 0.500 0.000 S
0.332 0.332 0.170 S
0.677 0.677 0.343 S
0.000 0.000 0.500 S
0.323 0.323 0.657 S
0.668 0.668 0.830 S
0.839 0.839 0.418 Sm
0.161 0.161 0.582 Sm
0.119 0.119 0.063 Sn
0.881 0.881 0.937 Sn
```

4.
Here is a relaxed structure of MgCd2B from the Open Quantum Materials Database. Energies are from PBE.

Results
SG: No. 216
Calculated volume, Å³ per atom: 18.2
Total energy, eV/cell: -7.13

POSCAR file:
```
MgCd2B
1.0
3.401 -2.023 2.505
-0.897 -3.883 2.460
1.790 -4.105 -1.369
B Cd Mg
1 2 1
direct
0.500 0.500 0.500 B
0.000 0.000 0.000 Cd
0.750 0.750 0.750 Cd
0.250 0.250 0.250 Mg
```

5.
Here is a relaxed structure of SrLiReOs from the Open Quantum Materials Database. Energies are from PBE.

Results
SG: No. 216
Calculated volume, Å³ per atom: 17.6
Total energy, eV/cell: -24.00
Magnetization, Bohr magnetons per cell: 0.0

POSCAR file:
```
SrLiReOs
1.0
0.000 3.277 3.277
3.277 0.000 3.277
3.277 3.277 0.000
Li Os Re Sr
1 1 1 1
direct
0.750 0.750 0.750 Li
0.250 0.250 0.250 Os
0.500 0.500 0.500 Re
0.000 0.000 0.000 Sr
```

6.
Here is a relaxed structure of HoLu6Te2Ir2 from the Open Quantum Materials Database. Energies are from PBE.

Results
SG: No. 44
Calculated volume, Å³ per atom: 25.3
Total energy, eV/cell: -66.09
Magnetization, Bohr magnetons per cell: 0.0

POSCAR file:
```
HoLu6Te2Ir2
1.0
-1.944 7.710 4.646
1.944 -7.710 4.646
1.944 7.710 -4.646
Ho Ir Lu Te
1 2 6 2
direct
0.683 0.683 0.000 Ho
0.992 0.754 0.238 Ir
0.516 0.754 0.762 Ir
0.398 0.265 0.133 Lu
0.368 0.053 0.314 Lu
0.766 0.414 0.353 Lu
0.061 0.414 0.647 Lu
0.739 0.053 0.686 Lu
0.133 0.265 0.867 Lu
0.021 0.021 0.000 Te
0.417 0.917 0.500 Te
```

7.
Here is a relaxed structure of TbZrTc from the Open Quantum Materials Database. Energies are from PBE.

Results
SG: No. 216
Calculated volume, Å³ per atom: 23.4
Total energy, eV/cell: -21.51
Magnetization, Bohr magnetons per cell: 0.0

POSCAR file:
```
TbZrTc
1.0
2.485 -1.496 3.611
2.198 3.040 2.717
-1.501 0.756 4.316
Tb Tc Zr
1 1 1
direct
0.250 0.250 0.250 Tb
0.750 0.750 0.750 Tc
0.000 0.000 0.000 Zr
```

8.
Here is a relaxed structure of SmBr2 from the Open Quantum Materials Database. Energies are from PBE.

Results
SG: No. 136
Calculated volume, Å³ per atom: 33.3
Total energy, eV/cell: -25.48
Magnetization, Bohr magnetons per cell: 0.3

POSCAR file:
```
SmBr2
1.0
7.308 0.000 0.000
0.000 7.308 0.000
0.000 0.000 3.744
Br Sm
4 2
direct
0.281 0.281 0.000 Br
0.719 0.719 0.000 Br
0.781 0.219 0.500 Br
0.219 0.781 0.500 Br
0.000 0.000 0.000 Sm
0.500 0.500 0.500 Sm
```

9.
Here is a relaxed structure of SrTaBi from the Open Quantum Materials Database. Energies are from PBE.

Results
SG: No. 216
Calculated volume, Å³ per atom: 31.5
Total energy, eV/cell: -15.27
Magnetization, Bohr magnetons per cell: 2.0

POSCAR file:
```
SrTaBi
1.0
0.000 3.616 3.616
3.616 0.000 3.616
3.616 3.616 0.000
Bi Sr Ta
1 1 1
direct
0.000 0.000 0.000 Bi
0.250 0.250 0.250 Sr
0.750 0.750 0.750 Ta
```

10.
Here is a relaxed structure of Cu2Ag3 from the Open Quantum Materials Database. Energies are from PBE.

Results
SG: No. 12
Calculated volume, Å³ per atom: 15.6
Total energy, eV/cell: -30.86

POSCAR file:
```
Cu2Ag3
1.0
4.430 -1.978 0.000
4.430 1.978 0.000
-0.168 0.000 8.893
Ag Cu
6 4
direct
0.197 0.197 0.094 Ag
0.595 0.595 0.294 Ag
0.303 0.303 0.399 Ag
0.697 0.697 0.601 Ag
0.405 0.405 0.706 Ag
0.803 0.803 0.906 Ag
0.500 0.500 0.000 Cu
0.903 0.903 0.198 Cu
0.000 0.000 0.500 Cu
0.097 0.097 0.802 Cu
```

11.
Here is a relaxed structure of ReMoAs2 from the Open Quantum Materials Database. Energies are from PBE.

Results
SG: No. 216
Calculated volume, Å³ per atom: 16.0
Total energy, eV/cell: -30.24
Magnetization, Bohr magnetons per cell: 0.1

POSCAR file:
```
ReMoAs2
1.0
-0.477 -0.941 4.363
-4.081 0.035 1.871
-1.922 -3.854 1.268
As Mo Re
2 1 1
direct
0.250 0.250 0.250 As
0.500 0.500 0.500 As
0.750 0.750 0.750 Mo
0.000 0.000 0.000 Re
```

12.
Here is a relaxed structure of Hf3Cd4Sb4 from the Open Quantum Materials Database. Energies are from PBE.

Results
SG: No. 121
Calculated volume, Å³ per atom: 24.9
Total energy, eV/cell: -48.15
Magnetization, Bohr magnetons per cell: 0.0

POSCAR file:
```
Hf3Cd4Sb4
1.0
-3.002 3.002 7.613
3.002 -3.002 7.613
3.002 3.002 -7.613
Cd Hf Sb
4 3 4
direct
0.546 0.221 0.000 Cd
0.221 0.546 0.000 Cd
0.779 0.779 0.326 Cd
0.454 0.454 0.674 Cd
0.000 0.000 0.000 Hf
0.750 0.250 0.500 Hf
0.250 0.750 0.500 Hf
0.193 0.193 0.000 Sb
0.807 0.807 0.000 Sb
0.500 0.000 0.500 Sb
0.000 0.500 0.500 Sb
```

13.
Here is a relaxed structure of CsSn5Mo3 from the Open Quantum Materials Database. Energies are from PBE.

Results
SG: No. 191
Calculated volume, Å³ per atom: 27.8
Total energy, eV/cell: -53.43
Magnetization, Bohr magnetons per cell: 0.0

POSCAR file:
```
CsSn5Mo3
1.0
-3.032 -0.704 -4.607
0.145 -3.990 3.869
-7.374 3.865 4.263
Cs Mo Sn
1 3 5
direct
0.000 0.000 0.000 Cs
0.500 0.000 0.500 Mo
0.000 0.500 0.500 Mo
0.500 0.500 0.500 Mo
0.667 0.333 0.241 Sn
0.333 0.667 0.241 Sn
0.000 0.000 0.500 Sn
0.667 0.333 0.759 Sn
0.333 0.667 0.759 Sn
```

14.
Here is a relaxed structure of PaSiAsO from the Open Quantum Materials Database. Energies are from PBE.

Results
SG: No. 129
Calculated volume, Å³ per atom: 18.5
Total energy, eV/cell: -47.21
Magnetization, Bohr magnetons per cell: 0.0

POSCAR file:
```
PaSiAsO
1.0
4.310 0.000 0.000
0.000 4.310 0.000
0.000 0.000 7.981
As O Pa Si
2 2 2 2
direct
0.750 0.750 0.261 As
0.250 0.250 0.739 As
0.750 0.250 0.000 O
0.250 0.750 0.000 O
0.750 0.250 0.500 Pa
0.250 0.750 0.500 Pa
0.250 0.250 0.049 Si
0.750 0.750 0.951 Si
```

15.
Here is a relaxed structure of Hg2C from the Open Quantum Materials Database. Energies are from PBE.

Results
SG: No. 227
Calculated volume, Å³ per atom: 21.2
Total energy, eV/cell: -5.61

POSCAR file:
```
Hg2C
1.0
0.000 3.994 3.994
3.994 0.000 3.994
3.994 3.994 0.000
C Hg
2 4
direct
0.000 0.000 0.000 C
0.250 0.250 0.250 C
0.625 0.625 0.125 Hg
0.625 0.125 0.625 Hg
0.125 0.625 0.625 Hg
0.625 0.625 0.625 Hg
```

16.
Here is a relaxed structure of GdNbIn from the Open Quantum Materials Database. Energies are from PBE.

Results
SG: No. 216
Calculated volume, Å³ per atom: 28.2
Total energy, eV/cell: -15.65
Magnetization, Bohr magnetons per cell: 3.0

POSCAR file:
```
GdNbIn
1.0
2.464 1.423 4.024
-2.464 1.423 4.024
0.000 -2.845 4.024
Gd In Nb
1 1 1
direct
0.750 0.750 0.750 Gd
0.250 0.250 0.250 In
0.000 0.000 0.000 Nb
```

17.
Here is a relaxed structure of YAg3 from the Open Quantum Materials Database. Energies are from PBE.

Results
SG: No. 59
Calculated volume, Å³ per atom: 19.8
Total energy, eV/cell: -31.99
Magnetization, Bohr magnetons per cell: 0.0

POSCAR file:
```
YAg3
1.0
4.956 0.000 0.000
0.000 6.118 0.000
0.000 0.000 5.232
Ag Y
6 2
direct
0.000 0.000 0.183 Ag
0.500 0.253 0.338 Ag
0.500 0.747 0.338 Ag
0.000 0.247 0.662 Ag
0.000 0.753 0.662 Ag
0.500 0.500 0.817 Ag
0.000 0.500 0.155 Y
0.500 0.000 0.845 Y
```

18.
Here is a relaxed structure of PrNdPt2 from the Open Quantum Materials Database. Energies are from PBE.

Results
SG: No. 11
Calculated volume, Å³ per atom: 24.4
Total energy, eV/cell: -52.37
Magnetization, Bohr magnetons per cell: 0.0

POSCAR file:
```
PrNdPt2
1.0
-3.829 1.146 4.101
3.015 -1.420 3.213
2.644 6.852 0.547
Nd Pr Pt
2 2 4
direct
0.360 0.750 0.182 Nd
0.640 0.250 0.818 Nd
0.860 0.250 0.318 Pr
0.140 0.750 0.682 Pr
0.847 0.750 0.045 Pt
0.348 0.250 0.455 Pt
0.652 0.750 0.545 Pt
0.153 0.250 0.955 Pt
```

19.
Here is a relaxed structure of PrAl2Hg from the Open Quantum Materials Database. Energies are from PBE.

Results
SG: No. 38
Calculated volume, Å³ per atom: 22.9
Total energy, eV/cell: -28.12
Magnetization, Bohr magnetons per cell: 0.0

POSCAR file:
```
PrAl2Hg
1.0
-0.865 -2.556 3.790
6.670 -0.810 0.977
3.576 4.374 3.766
Al Hg Pr
4 2 2
direct
0.000 0.144 0.144 Al
0.500 0.863 0.281 Al
0.500 0.281 0.863 Al
0.500 0.865 0.865 Al
0.000 0.687 0.166 Hg
0.000 0.166 0.687 Hg
0.500 0.323 0.323 Pr
0.000 0.671 0.671 Pr
```

20.
Here is a relaxed structure of Y2ErCu4Pb4 from the Open Quantum Materials Database. Energies are from PBE.

Results
SG: No. 71
Calculated volume, Å³ per atom: 21.9
Total energy, eV/cell: -50.10
Magnetization, Bohr magnetons per cell: 0.0

POSCAR file:
```
Y2ErCu4Pb4
1.0
4.116 -5.398 -5.270
5.469 -5.909 3.005
-7.951 3.252 -0.245
Cu Er Pb Y
4 1 4 2
direct
0.641 0.329 0.312 Cu
0.983 0.671 0.312 Cu
0.017 0.329 0.688 Cu
0.359 0.671 0.688 Cu
0.000 0.000 0.000 Er
0.215 0.215 0.000 Pb
0.785 0.785 0.000 Pb
0.711 0.500 0.211 Pb
0.289 0.500 0.789 Pb
0.631 0.131 0.500 Y
0.369 0.869 0.500 Y
```

21.
Here is a relaxed structure of Os5N from the Open Quantum Materials Database. Energies are from PBE.

Results
SG: No. 191
Calculated volume, Å³ per atom: 16.2
Total energy, eV/cell: -53.10
Magnetization, Bohr magnetons per cell: 0.0

POSCAR file:
```
Os5N
1.0
-1.105 -2.655 -4.011
3.446 -1.603 3.148
-3.229 -2.258 2.384
N Os
1 5
direct
0.000 0.000 0.000 N
0.667 0.333 0.000 Os
0.333 0.667 0.000 Os
0.500 0.000 0.500 Os
0.000 0.500 0.500 Os
0.500 0.500 0.500 Os
```

22.
Here is a relaxed structure of Lu2Co17 from the Open Quantum Materials Database. Energies are from PBE.

Results
SG: No. 194
Calculated volume, Å³ per atom: 12.2
Total energy, eV/cell: -263.91
Magnetization, Bohr magnetons per cell: 50.5

POSCAR file:
```
Lu2Co17
1.0
8.187 0.000 0.000
-4.094 7.090 0.000
0.000 0.000 8.015
Co Lu
34 4
direct
0.500 0.000 0.000 Co
0.000 0.500 0.000 Co
0.500 0.500 0.000 Co
0.332 0.166 0.024 Co
0.834 0.166 0.024 Co
0.834 0.668 0.024 Co
0.333 0.667 0.106 Co
0.044 0.371 0.250 Co
0.327 0.371 0.250 Co
0.044 0.673 0.250 Co
0.629 0.673 0.250 Co
0.327 0.956 0.250 Co
0.629 0.956 0.250 Co
0.333 0.667 0.394 Co
0.834 0.668 0.476 Co
0.332 0.166 0.476 Co
0.834 0.166 0.476 Co
0.500 0.000 0.500 Co
0.000 0.500 0.500 Co
0.500 0.500 0.500 Co
0.166 0.834 0.524 Co
0.668 0.834 0.524 Co
0.166 0.332 0.524 Co
0.667 0.333 0.606 Co
0.371 0.044 0.750 Co
0.673 0.044 0.750 Co
0.371 0.327 0.750 Co
0.956 0.327 0.750 Co
0.673 0.629 0.750 Co
0.956 0.629 0.750 Co
0.667 0.333 0.894 Co
0.166 0.332 0.976 Co
0.166 0.834 0.976 Co
0.668 0.834 0.976 Co
0.000 0.000 0.250 Lu
0.667 0.333 0.250 Lu
0.000 0.000 0.750 Lu
0.333 0.667 0.750 Lu
```

23.
Here is a relaxed structure of GeAsPd from the Open Quantum Materials Database. Energies are from PBE.

Results
SG: No. 216
Calculated volume, Å³ per atom: 19.1
Total energy, eV/cell: -15.04

POSCAR file:
```
GeAsPd
1.0
-2.409 -3.549 -0.596
-3.892 0.315 -1.873
-0.613 -1.556 -3.995
As Ge Pd
1 1 1
direct
0.250 0.250 0.250 As
0.750 0.750 0.750 Ge
0.000 0.000 0.000 Pd
```

24.
Here is a relaxed structure of Te3POs2 from the Open Quantum Materials Database. Energies are from PBE.

Results
SG: No. 6
Calculated volume, Å³ per atom: 21.6
Total energy, eV/cell: -37.52
Magnetization, Bohr magnetons per cell: 0.0

POSCAR file:
```
Te3POs2
1.0
5.278 0.000 0.000
0.000 3.871 0.000
-0.245 0.000 6.332
Os P Te
2 1 3
direct
0.511 0.000 0.522 Os
0.968 0.500 0.990 Os
0.723 0.000 0.858 P
0.299 0.000 0.123 Te
0.782 0.500 0.363 Te
0.218 0.500 0.644 Te
```

25.
Here is a relaxed structure of Ho2Nb from the Open Quantum Materials Database. Energies are from PBE.

Results
SG: No. 227
Calculated volume, Å³ per atom: 69.6
Total energy, eV/cell: -24.90
Magnetization, Bohr magnetons per cell: 3.3

POSCAR file:
```
Ho2Nb
1.0
4.195 2.422 6.850
-4.195 2.422 6.850
0.000 -4.844 6.850
Ho Nb
4 2
direct
0.375 0.375 0.375 Ho
0.875 0.375 0.375 Ho
0.375 0.875 0.375 Ho
0.375 0.375 0.875 Ho
0.250 0.250 0.250 Nb
0.500 0.500 0.500 Nb
```